First-principles (PBE) data for a geometry-optimized La2DySn structure, as listed in Alexandria via LeMat-Bulk.

abc: 4.684 4.602 12.076
angles: 90.00 101.28 90.00
Space group P2_1/m (No. 11)
Symmetry-distinct sites (fractional):
La  0.061  0.250  0.143
La  0.411  0.250  0.874
Dy  0.199  0.750  0.395
Sn  0.330  0.750  0.657

Output
The calculation puts the total magnetization at 0.000 μB/atom. The calculation puts the energy above the most stable polymorph in this dataset at 91.4 meV per atom. The electronic total energy is -4.978 eV/atom.